# 1
# ZrTaBr2

A geometry-optimized ZrTaBr2 structure (PBE, the Alexandria database).

Unit cell a=3.3650 b=3.3650 c=9.3590 alpha=90.00 beta=90.00 gamma=125.33
Last column: nearest neighbours and their distance in Å.
Fractional coordinates of all 4 atoms:
Zr: 0.0000 0.0000 0.0000  4 Br 2.85, 2 Zr 3.09
Ta: 0.0000 0.0000 0.5000  4 Br 2.75
Br: 0.5000 0.5000 0.2565  2 Ta 2.75, 2 Zr 2.85
Br: 0.5000 0.5000 0.7435  2 Ta 2.75, 2 Zr 2.85

## Properties
SG   Cmmm (65)
Distance to the lowest polymorph of the same formula   0.7840 eV/atom
Energy relative to the elements, uncorrected   0.235 eV/atom

=====

# 2
# MnTl2AsS4

A geometry-optimized MnTl2AsS4 structure (PBE, the Alexandria database).

Unit cell a=13.1721 b=11.9552 c=7.0901 alpha=83.33 beta=64.35 gamma=32.32
Last column: nearest neighbours and their distance in Å.
Fractional coordinates of all 16 atoms:
Mn: 0.1250 0.1250 0.1250  4 S 2.37
Mn: 0.8750 0.8750 0.8750  4 S 2.37
Tl: 0.0625 0.0625 0.6875  2 S 3.20
Tl: 0.3125 0.3125 0.9375  2 S 3.20
Tl: 0.6875 0.6875 0.0625  2 S 3.20
Tl: 0.9375 0.9375 0.3125  2 S 3.20
As: 0.3750 0.3750 0.3750  4 S 2.31
As: 0.6250 0.6250 0.6250  4 S 2.31
S: 0.0209 0.3284 0.4344  1 As 2.31, 1 Mn 2.37
S: 0.2837 0.5656 0.6716  1 As 2.31, 1 Mn 2.37
S: 0.3284 0.0209 0.7163  1 As 2.31, 1 Mn 2.37
S: 0.4344 0.7163 0.0209  1 As 2.31, 1 Mn 2.37
S: 0.5656 0.2837 0.9791  1 As 2.31, 1 Mn 2.37
S: 0.6716 0.9791 0.2837  1 As 2.31, 1 Mn 2.37
S: 0.7163 0.4344 0.3284  1 As 2.31, 1 Mn 2.37
S: 0.9791 0.6716 0.5656  1 As 2.31, 1 Mn 2.37

## Properties
SG   Fddd (70)
Energy relative to the elements, uncorrected   -0.237 eV/atom

=====

# 3
# ScPBr2

A geometry-optimized ScPBr2 structure (PBE, the Alexandria database).

Unit cell a=10.0919 b=10.0919 c=10.0919 alpha=20.01 beta=20.01 gamma=20.01
Last column: nearest neighbours and their distance in Å.
Fractional coordinates of all 4 atoms:
Sc: 0.0000 0.0000 0.0000  6 Br 2.68
P: 0.5000 0.5000 0.5000  6 P 3.51, 6 Br 3.77
Br: 0.2741 0.2741 0.2741  3 Sc 2.68
Br: 0.7259 0.7259 0.7259  3 Sc 2.68

## Properties
SG   R-3m (166)
Distance to the lowest polymorph of the same formula   0.5500 eV/atom
Energy relative to the elements, uncorrected   -0.403 eV/atom

=====

# 4
# DyHoMgZr

A geometry-optimized DyHoMgZr structure (PBE, the Alexandria database).

Unit cell a=5.3385 b=5.3385 c=5.3385 alpha=60.00 beta=60.00 gamma=60.00
Last column: nearest neighbours and their distance in Å.
Fractional coordinates of all 4 atoms:
Dy: 0.0000 0.0000 0.0000  4 Mg 3.27, 4 Zr 3.27
Ho: 0.5000 0.5000 0.5000  4 Mg 3.27, 4 Zr 3.27
Mg: 0.7500 0.7500 0.7500  4 Ho 3.27, 4 Dy 3.27
Zr: 0.2500 0.2500 0.2500  4 Ho 3.27, 4 Dy 3.27

## Properties
SG   F-43m (216)
ΔE_f   0.129 eV/atom

=====

# 5
# CaTcPb3

A geometry-optimized CaTcPb3 structure (PBE, the Alexandria database).

Unit cell a=5.3786 b=5.3786 c=5.3786 alpha=90.00 beta=90.00 gamma=90.00
Last column: nearest neighbours and their distance in Å.
Fractional coordinates of all 5 atoms:
Ca: 0.0000 0.0000 0.0000  12 Pb 3.80
Tc: 0.5000 0.5000 0.5000  6 Pb 2.69
Pb: 0.0000 0.5000 0.5000  2 Tc 2.69
Pb: 0.5000 0.0000 0.5000  2 Tc 2.69
Pb: 0.5000 0.5000 0.0000  2 Tc 2.69

## Properties
SG   Pm-3m (221)
ΔE_f   0.256 eV/atom
Distance to the lowest polymorph of the same formula   0.0000 eV/atom

=====

# 6
# Pa2Co12P3Pd

A geometry-optimized Pa2Co12P3Pd structure (PBE, the Alexandria database).

Unit cell a=6.2216 b=6.2216 c=6.2216 alpha=82.69 beta=82.69 gamma=82.69
Last column: nearest neighbours and their distance in Å.
Fractional coordinates of all 18 atoms:
Pa: 0.1388 0.1388 0.1388  3 Co 2.26
Pa: 0.8612 0.8612 0.8612  3 Co 2.26
Co: 0.1261 0.1261 0.6025  2 P 2.39, 1 Co 2.45
Co: 0.1261 0.6025 0.1261  2 P 2.39, 1 Co 2.45
Co: 0.1625 0.6878 0.6878  1 P 2.17, 1 Pa 2.26
Co: 0.3122 0.3122 0.8375  1 P 2.17, 1 Pa 2.26
Co: 0.3122 0.8375 0.3122  1 P 2.17, 1 Pa 2.26
Co: 0.3975 0.8739 0.8739  2 P 2.39, 1 Co 2.45
Co: 0.6025 0.1261 0.1261  2 P 2.39, 1 Co 2.45
Co: 0.6878 0.1625 0.6878  1 P 2.17, 1 Pa 2.26
Co: 0.6878 0.6878 0.1625  1 P 2.17, 1 Pa 2.26
Co: 0.8375 0.3122 0.3122  1 P 2.17, 1 Pa 2.26
Co: 0.8739 0.3975 0.8739  2 P 2.39, 1 Co 2.45
Co: 0.8739 0.8739 0.3975  2 P 2.39, 1 Co 2.45
P: 0.0000 0.5000 0.5000  6 Co 2.17-2.39
P: 0.5000 0.0000 0.5000  6 Co 2.17-2.39
P: 0.5000 0.5000 0.0000  6 Co 2.17-2.39
Pd: 0.5000 0.5000 0.5000  6 Co 2.50

## Properties
SG   R-3m (166)
ΔE_f   -0.078 eV/atom

=====

| no. | V (A^3/atom) |
| --- | --- |
| 1 | 21.615 |
| 2 | 28.769 |
| 3 | 26.314 |
| 4 | 26.896 |
| 5 | 31.120 |
| 6 | 13.079 |